Record 1
ReHgAsH | PBE-GGA | relaxed

Values from the calculation:
Space-group type   R3m (160)
DOS(E_F)   4.11 states/eV per cell
Energy above the most stable polymorph in this dataset   0.20 eV per formula unit
V   188 Å³/cell
Crystal system   trigonal
Calculated density   12.24 g cm⁻³
Raw total energy   -4.942 eV/atom
Magnetization   0.0 μB per cell

Unit cell a=3.141 b=3.141 c=22.038 alpha=90.00 beta=90.00 gamma=120.00
Atoms (fractional coordinates):
Hg: 0.000 0.000 0.758
As: 0.000 0.000 0.631
H: 0.667 0.333 0.854
Re: 0.000 0.000 0.887
Re: 0.333 0.667 0.554
As: 0.667 0.333 0.964
As: 0.333 0.667 0.298
H: 0.000 0.000 0.521
Hg: 0.333 0.667 0.425
Hg: 0.667 0.333 0.092
H: 0.333 0.667 0.188
Re: 0.667 0.333 0.221

=====

Record 2
ReHgAsH | PBE-GGA | relaxed

Values from the calculation:
Space-group type   Cm (8)
DOS(E_F)   2.94 states/eV per cell
Energy above the most stable polymorph in this dataset   0.90 eV per formula unit
V   138 Å³/cell
Crystal system   monoclinic
Calculated density   11.17 g cm⁻³
Raw total energy   -4.766 eV/atom
Magnetization   0.0 μB per cell

Unit cell a=7.861 b=3.230 c=5.578 alpha=90.00 beta=103.80 gamma=90.00
Atoms (fractional coordinates):
H: 0.086 0.000 0.594
Hg: 0.798 0.500 0.998
Re: 0.494 0.000 0.065
H: 0.086 0.500 0.094
As: 0.297 0.500 0.165
As: 0.297 0.000 0.665
Hg: 0.798 0.000 0.498
Re: 0.494 0.500 0.565

=====

Record 3
ReHgAsH | PBE-GGA | relaxed

Values from the calculation:
Space-group type   Amm2 (38)
DOS(E_F)   5.71 states/eV per cell
Energy above the most stable polymorph in this dataset   0.00 eV per formula unit
V   126 Å³/cell
Crystal system   orthorhombic
Calculated density   12.18 g cm⁻³
Raw total energy   -4.992 eV/atom
Magnetization   0.0 μB per cell

Unit cell a=3.169 b=3.118 c=12.771 alpha=90.00 beta=90.00 gamma=90.00
Atoms (fractional coordinates):
Hg: 0.000 0.000 0.122
Hg: 0.000 0.500 0.622
Re: 0.500 0.500 0.813
H: 0.500 0.500 0.237
As: 0.000 0.500 0.412
Re: 0.500 0.000 0.313
H: 0.500 0.000 0.737
As: 0.000 0.000 0.912

=====

Record 4
ReHgAsH | PBE-GGA | relaxed

Values from the calculation:
Space-group type   P1 (1)
DOS(E_F)   2.20 states/eV per cell
Energy above the most stable polymorph in this dataset   0.17 eV per formula unit
V   70 Å³/cell
Crystal system   triclinic
Calculated density   10.93 g cm⁻³
Raw total energy   -4.949 eV/atom
Magnetization   0.4 μB per cell

Unit cell a=3.088 b=4.628 c=5.523 alpha=75.82 beta=73.25 gamma=70.52
Atoms (fractional coordinates):
Hg: 0.479 0.703 0.195
As: 0.039 0.141 0.651
Re: 0.751 0.704 0.665
H: 0.258 0.533 0.814

=====

Record 5
Re2HgAsH | PBE-GGA | relaxed

Values from the calculation:
Space-group type   P4/mmm (123)
DOS(E_F)   4.58 states/eV per cell
V   72 Å³/cell
Crystal system   tetragonal
Calculated density   14.91 g cm⁻³
Raw total energy   -5.640 eV/atom
Magnetization   0.0 μB per cell

Unit cell a=3.963 b=4.602 c=3.963 alpha=90.00 beta=90.00 gamma=90.00
Atoms (fractional coordinates):
Re: 0.500 0.000 0.000
Hg: 0.500 0.500 0.500
Re: 0.000 0.000 0.500
As: 0.000 0.500 0.000
H: 0.000 0.000 0.000

=====

Record 6
ReHgAsH | PBE-GGA | relaxed

Values from the calculation:
Space-group type   Cm (8)
DOS(E_F)   2.45 states/eV per cell
Energy above the most stable polymorph in this dataset   0.55 eV per formula unit
V   68 Å³/cell
Crystal system   monoclinic
Calculated density   11.32 g cm⁻³
Raw total energy   -4.855 eV/atom
Magnetization   0.0 μB per cell

Unit cell a=3.103 b=4.550 c=5.364 alpha=89.06 beta=73.24 gamma=70.06
Atoms (fractional coordinates):
As: 0.895 0.734 0.403
Re: 0.222 0.153 0.329
H: 0.487 0.889 0.064
Hg: 0.869 0.306 0.879

=====

Record 7
ReHgAsH | PBE-GGA | relaxed

Values from the calculation:
Space-group type   Cm (8)
DOS(E_F)   2.81 states/eV per cell
Energy above the most stable polymorph in this dataset   0.09 eV per formula unit
V   149 Å³/cell
Crystal system   monoclinic
Calculated density   10.33 g cm⁻³
Raw total energy   -4.968 eV/atom
Magnetization   0.4 μB per cell

Unit cell a=5.525 b=3.122 c=8.667 alpha=90.00 beta=95.84 gamma=90.00
Atoms (fractional coordinates):
Re: 0.679 0.500 0.427
Re: 0.679 0.000 0.927
Hg: 0.183 0.000 0.939
As: 0.661 0.500 0.711
H: 0.802 0.000 0.511
H: 0.802 0.500 0.011
As: 0.661 0.000 0.211
Hg: 0.183 0.500 0.439

=====

Record 8
HgAsH2S | PBE-GGA | relaxed

Values from the calculation:
Space-group type   P4/mmm (123)
DOS(E_F)   1.91 states/eV per cell
V   88 Å³/cell
Crystal system   tetragonal
Calculated density   5.84 g cm⁻³
Raw total energy   -2.611 eV/atom
Magnetization   0.9 μB per cell

Unit cell a=3.690 b=6.470 c=3.690 alpha=90.00 beta=90.00 gamma=90.00
Atoms (fractional coordinates):
As: 0.500 0.500 0.500
S: 0.000 0.000 0.000
Hg: 0.000 0.500 0.000
H: 0.000 0.000 0.500
H: 0.500 0.000 0.000

=====

Among the records above, which one has the highest raw total energy?
HgAsH2S

=====

Please write out number 7 again, unchanged.
ReHgAsH | PBE-GGA | relaxed

Values from the calculation:
Space-group type   Cm (8)
DOS(E_F)   2.81 states/eV per cell
Energy above the most stable polymorph in this dataset   0.09 eV per formula unit
V   149 Å³/cell
Crystal system   monoclinic
Calculated density   10.33 g cm⁻³
Raw total energy   -4.968 eV/atom
Magnetization   0.4 μB per cell

Unit cell a=5.525 b=3.122 c=8.667 alpha=90.00 beta=95.84 gamma=90.00
Atoms (fractional coordinates):
Re: 0.679 0.500 0.427
Re: 0.679 0.000 0.927
Hg: 0.183 0.000 0.939
As: 0.661 0.500 0.711
H: 0.802 0.000 0.511
H: 0.802 0.500 0.011
As: 0.661 0.000 0.211
Hg: 0.183 0.500 0.439

=====

What is the calculated density in the seventh record?
10.33 g cm⁻³

=====

Which formula does entry 8 have?
HgAsH2S